--- a ---
Computed, not measured: a relaxed YCd4Hg2 crystal at the PBE level of DFT.

Cell: 4.9355 19.6267 3.3886 Å, 90.00 90.00 90.00°
Space group Cmmm (No. 65)
Asymmetric unit:
Y (0.0000, 0.0000, 0.0000)
Cd (0.0000, 0.1548, 0.5000)
Cd (0.0000, 0.2929, 0.0000)
Hg (0.0000, 0.4260, 0.5000)


--- b ---
Computed, not measured: a relaxed YCd4Hg2 crystal at the PBE level of DFT.

Cell: 5.5488 5.8728 6.2820 Å, 103.98 100.37 111.46°
Space group P-1 (No. 2)
Asymmetric unit:
Y (0.0000, 0.0000, 0.0000)
Cd (0.0298, 0.5857, 0.2718)
Cd (0.5000, 0.5000, 0.0000)
Cd (0.5000, 0.5000, 0.5000)
Hg (0.4166, 0.9731, 0.7266)


Ordering by calculated energy gives the sequence a, b, with the first entry being the most stable.


--- a ---
Computed, not measured: a relaxed Zn2CdHg crystal at the PBE level of DFT.

Cell: 6.8348 6.8348 6.8348 Å, 90.00 90.00 90.00°
Space group Fm-3m (No. 225)
Asymmetric unit:
Zn (0.2500, 0.2500, 0.2500)
Cd (0.0000, 0.0000, 0.0000)
Hg (0.0000, 0.0000, 0.5000)


--- b ---
Computed, not measured: a relaxed Zn2CdHg crystal at the PBE level of DFT.

Cell: 3.5623 3.8842 5.6862 Å, 90.00 90.00 90.00°
Space group Pmmm (No. 47)
Asymmetric unit:
Zn (0.0000, 0.0000, 0.2482)
Cd (0.5000, 0.5000, 0.5000)
Hg (0.5000, 0.5000, 0.0000)


--- c ---
Computed, not measured: a relaxed Zn2CdHg crystal at the PBE level of DFT.

Cell: 3.6230 4.3936 5.1745 Å, 90.00 103.27 90.00°
Space group Pm (No. 6)
Asymmetric unit:
Zn (0.0000, 0.0000, 0.0000)
Zn (0.1037, 0.5000, 0.2933)
Cd (0.6534, 0.0000, 0.4581)
Hg (0.4497, 0.5000, 0.8323)


--- d ---
Computed, not measured: a relaxed Zn2CdHg crystal at the PBE level of DFT.

Cell: 5.6601 7.7093 3.6252 Å, 90.00 90.00 90.00°
Space group Cmmm (No. 65)
Asymmetric unit:
Zn (0.2500, 0.2500, 0.0000)
Cd (0.0000, 0.0000, 0.5000)
Hg (0.0000, 0.5000, 0.5000)


Ordering by calculated energy gives the sequence c, d, b, a, with the first entry being the most stable.


--- a ---
Computed, not measured: a relaxed Zn2CdHg crystal at the PBE level of DFT.

Cell: 4.2548 4.2548 18.8361 Å, 90.00 90.00 90.00°
Space group I-42d (No. 122)
Asymmetric unit:
Zn (0.2427, 0.2500, 0.1250)
Cd (0.0000, 0.0000, 0.0000)
Hg (0.0000, 0.0000, 0.5000)


--- b ---
Computed, not measured: a relaxed Zn2CdHg crystal at the PBE level of DFT.

Cell: 2.8224 3.9068 7.2219 Å, 90.00 90.00 90.00°
Space group Pmm2 (No. 25)
Asymmetric unit:
Zn (0.0000, 0.0000, 0.0000)
Zn (0.5000, 0.5000, 0.1852)
Cd (0.0000, 0.0000, 0.4389)
Hg (0.5000, 0.5000, 0.7366)


--- c ---
Computed, not measured: a relaxed Zn2CdHg crystal at the PBE level of DFT.

Cell: 9.0753 3.6040 4.9591 Å, 90.00 101.23 90.00°
Space group Cm (No. 8)
Asymmetric unit:
Zn (0.0000, 0.0000, 0.0000)
Zn (0.2404, 0.5000, 0.2152)
Cd (0.2504, 0.0000, 0.7564)
Hg (0.4916, 0.0000, 0.4615)


Ordering by calculated energy gives the sequence c, b, a, with the first entry being the most stable.